Density functional theory data (PBE) for a relaxed LiPuTc crystal.

- total energy (eV for the cell shown) = -24.0

a b c (Å): 4.3513 4.3513 4.3513
angles (deg): 60.00 60.00 60.00
Element x y z (fractional)
Tc1 0.7500 0.7500 0.7500
Li1 0.2500 0.2500 0.2500
Pu1 0.0000 0.0000 0.0000